[1]
This record from the Alexandria database describes Nb6InS12 after structural relaxation. The functional is PBE.

Cell lengths 7.5307, 7.5307, 7.5307 Å; angles 104.12, 104.12, 104.12 degrees
Closest atoms and distances in Å follow each position.
Fractional positions:
Nb 0.6355 0.2465 0.2465  5 S 2.39-2.58
Nb 0.2465 0.2465 0.6355  5 S 2.39-2.58
Nb 0.2465 0.6355 0.2465  5 S 2.39-2.58
Nb 0.7535 0.7535 0.3645  5 S 2.39-2.58
Nb 0.3645 0.7535 0.7535  5 S 2.39-2.58
Nb 0.7535 0.3645 0.7535  5 S 2.39-2.58
In 0.0000 0.0000 0.0000  18 S 3.90-4.05, 6 Nb 4.21
S 0.8739 0.1261 0.5000  4 Nb 2.58-2.77
S 0.8243 0.5427 0.5427  3 Nb 2.39-2.54
S 0.5427 0.5427 0.8243  3 Nb 2.39-2.54
S 0.4573 0.1757 0.4573  3 Nb 2.39-2.54
S 0.4573 0.4573 0.1757  3 Nb 2.39-2.54
S 0.1757 0.4573 0.4573  3 Nb 2.39-2.54
S 0.1261 0.5000 0.8739  4 Nb 2.58-2.77
S 0.5000 0.8739 0.1261  4 Nb 2.58-2.77
S 0.1261 0.8739 0.5000  4 Nb 2.58-2.77
S 0.8739 0.5000 0.1261  4 Nb 2.58-2.77
S 0.5000 0.1261 0.8739  4 Nb 2.58-2.77
S 0.5427 0.8243 0.5427  3 Nb 2.39-2.54

Total energy, eV per atom: -6.51
ρ, g cm⁻³: 4.617
Symmetry: R-3m (166)
Energy relative to the elements, uncorrected, meV per atom: -582


[2]
This record from the Alexandria database describes CeScCu after structural relaxation. The functional is PBE.

Cell lengths 3.2699, 3.2699, 6.5891 Å; angles 104.37, 104.37, 90.00 degrees
Closest atoms and distances in Å follow each position.
Fractional positions:
Sc 0.3041 0.3041 0.6083  4 Cu 2.76
Cu 0.6819 0.6819 0.3638  4 Sc 2.76
Ce 0.0140 0.0140 0.0279  4 Cu 3.10, 4 Ce 3.27, 4 Sc 3.47

Total energy, eV per atom: -5.51
ρ, g cm⁻³: 6.258
Calculated formation energy, eV per atom: -0.054
Symmetry: I4mm (107)


[3]
This record from the Alexandria database describes Al2AgRh after structural relaxation. The functional is PBE.

Cell lengths 8.6911, 8.6911, 8.6911 Å; angles 19.23, 19.23, 19.23 degrees
Closest atoms and distances in Å follow each position.
Fractional positions:
Rh 0.2500 0.2500 0.2500  6 Al 2.56
Al 0.9924 0.9924 0.9924  3 Rh 2.56, 3 Ag 2.87
Al 0.5076 0.5076 0.5076  3 Rh 2.56, 3 Ag 2.87
Ag 0.7500 0.7500 0.7500  6 Al 2.87, 6 Ag 2.90

Total energy, eV per atom: -4.81
ρ, g cm⁻³: 7.061
Calculated formation energy, eV per atom: -0.389
Symmetry: R-3m (166)


[4]
This record from the Alexandria database describes NiSeI2 after structural relaxation. The functional is PBE.

Cell lengths 7.0459, 7.0459, 6.8967 Å; angles 59.28, 59.28, 90.00 degrees
Closest atoms and distances in Å follow each position.
Fractional positions:
I 0.5605 0.1250 0.2500  2 Ni 2.50
I 0.1895 0.6250 0.2500  2 Ni 2.50
I 0.3750 0.4395 0.7500  2 Ni 2.50
I 0.8750 0.8105 0.7500  2 Ni 2.50
Ni 0.5000 0.5000 0.0000  4 I 2.50
Ni 0.2500 0.7500 0.5000  4 I 2.50
Se 0.0000 0.0000 0.0000  4 I 3.07
Se 0.7500 0.2500 0.5000  4 I 3.07

Total energy, eV per atom: -2.72
ρ, g cm⁻³: 5.491
Symmetry: I-42d (122)
Energy relative to the elements, uncorrected, meV per atom: 376


[5]
This record from the Alexandria database describes LaSmMnCd after structural relaxation. The functional is PBE.

Cell lengths 5.3570, 5.3570, 5.3570 Å; angles 60.00, 60.00, 60.00 degrees
Closest atoms and distances in Å follow each position.
Fractional positions:
Mn 0.2500 0.2500 0.2500  4 Sm 3.28, 4 La 3.28
Cd 0.7500 0.7500 0.7500  4 Sm 3.28, 4 La 3.28
Sm 0.5000 0.5000 0.5000  4 Mn 3.28, 4 Cd 3.28
La 0.0000 0.0000 0.0000  4 Cd 3.28, 4 Mn 3.28

Total energy, eV per atom: -4.92
ρ, g cm⁻³: 6.975
Calculated formation energy, eV per atom: 0.013
Symmetry: F-43m (216)


[6]
This record from the Alexandria database describes Pm2Ho5ErTm after structural relaxation. The functional is PBE.

Cell lengths 8.5161, 8.5161, 9.9261 Å; angles 115.40, 115.40, 90.00 degrees
Closest atoms and distances in Å follow each position.
Fractional positions:
Pm 0.1182 0.3818 0.0000  1 Pm 2.85, 2 Ho 3.01
Pm 0.6182 0.1182 0.0000  1 Pm 2.85, 2 Ho 3.01
Pm 0.3818 0.8818 0.0000  1 Pm 2.85, 2 Ho 3.01
Pm 0.8818 0.6182 0.0000  1 Pm 2.85, 2 Ho 3.01
Ho 0.9274 0.4274 0.2824  1 Pm 3.01, 1 Er 3.09
Ho 0.6450 0.1450 0.7176  1 Pm 3.01, 1 Er 3.09
Ho 0.0726 0.5726 0.7176  1 Pm 3.01, 1 Er 3.09
Ho 0.1450 0.0726 0.7176  1 Pm 3.01, 1 Er 3.09
Ho 0.5726 0.6450 0.7176  1 Pm 3.01, 1 Er 3.09
Ho 0.8550 0.9274 0.2824  1 Pm 3.01, 1 Er 3.09
Ho 0.4274 0.3550 0.2824  1 Pm 3.01, 1 Er 3.09
Ho 0.3550 0.8550 0.2824  1 Pm 3.01, 1 Er 3.09
Ho 0.5000 0.5000 0.0000  4 Pm 3.40, 8 Ho 3.77
Ho 0.0000 0.0000 0.0000  4 Pm 3.40, 8 Ho 3.77
Er 0.2500 0.7500 0.5000  4 Ho 3.09
Er 0.7500 0.2500 0.5000  4 Ho 3.09
Tm 0.2500 0.2500 0.5000  8 Ho 3.49
Tm 0.7500 0.7500 0.5000  8 Ho 3.49

Total energy, eV per atom: -4.32
ρ, g cm⁻³: 8.420
Calculated formation energy, eV per atom: 0.282
Symmetry: I4/mcm (140)


[7]
This record from the Alexandria database describes ZrZnRh after structural relaxation. The functional is PBE.

Cell lengths 3.4419, 3.4419, 4.9554 Å; angles 110.32, 110.32, 90.00 degrees
Closest atoms and distances in Å follow each position.
Fractional positions:
Zn 0.2881 0.2881 0.5763  5 Zr 2.78-2.88, 5 Rh 2.82-2.90
Rh 0.9520 0.9520 0.9040  5 Zr 2.79-2.95, 5 Zn 2.82-2.90
Zr 0.6098 0.6098 0.2197  5 Zn 2.78-2.88, 5 Rh 2.79-2.95

Total energy, eV per atom: -6.28
ρ, g cm⁻³: 8.428
Calculated formation energy, eV per atom: -0.551
Symmetry: I4mm (107)


[8]
This record from the Alexandria database describes Ho2Ni9Sn after structural relaxation. The functional is PBE.

Cell lengths 4.9005, 4.9005, 8.6032 Å; angles 73.45, 73.45, 60.00 degrees
Closest atoms and distances in Å follow each position.
Fractional positions:
Ho 0.8633 0.8633 0.4101  12 Ni 2.78-3.11
Ho 0.1367 0.1367 0.5899  12 Ni 2.78-3.11
Ni 0.6668 0.6668 0.9996  6 Ni 2.46-2.48
Ni 0.3332 0.3332 0.0004  6 Ni 2.46-2.48
Ni 0.5000 0.5000 0.5000  6 Ni 2.48
Ni 0.4162 0.4162 0.2492  7 Ni 2.44-2.48
Ni 0.9184 0.4162 0.2492  7 Ni 2.44-2.48
Ni 0.4162 0.9184 0.2492  7 Ni 2.44-2.48
Ni 0.5838 0.5838 0.7508  7 Ni 2.44-2.48
Ni 0.5838 0.0816 0.7508  7 Ni 2.44-2.48
Ni 0.0816 0.5838 0.7508  7 Ni 2.44-2.48
Sn 0.0000 0.0000 0.0000  6 Ni 2.83

Total energy, eV per atom: -5.70
ρ, g cm⁻³: 9.599
Calculated formation energy, eV per atom: -0.264
Symmetry: R-3m (166)